The following is a GGA-PBE calculation of crystalline Pa2Ga3SiPt4 at its relaxed geometry, from Alexandria.

Properties
Crystal system ... tetragonal
Raw total energy ... -65.67 eV/f.u.
Formation energy (no corrections) ... -801.0 meV/atom

Structure (POSCAR):
```
Pa2Ga3SiPt4
1.0
4.261 0.000 0.000
0.000 4.261 0.000
0.000 0.000 10.094
Pa Ga Si Pt
2 3 1 4
direct
0.000 0.500 0.249
0.500 0.000 0.751
0.000 0.500 0.864
0.500 0.000 0.136
0.500 0.500 0.500
0.000 0.000 0.500
0.000 0.000 0.000
0.000 0.500 0.624
0.500 0.000 0.376
0.500 0.500 0.000
```